Record 1
# KBe2Rh | Alexandria via LeMat-Bulk | GGA-PBE | optimized geometry
data_KBe2Rh
_chemical_formula_sum 'K2 Be4 Rh2'
_space_group_name_H-M_alt 'I -4 m 2'
_space_group_IT_number 119
_space_group_name_Hall 'I -4 -2'
_cell_length_a 3.948
_cell_length_b 3.948
_cell_length_c 8.166
_cell_angle_alpha 90.00
_cell_angle_beta 90.00
_cell_angle_gamma 90.00
loop_
_atom_site_label
_atom_site_type_symbol
_atom_site_fract_x
_atom_site_fract_y
_atom_site_fract_z
_atom_site_occupancy
K1 K 0.000 0.000 0.000 1
Be1 Be 0.000 0.000 0.500 1
Be2 Be 0.000 0.500 0.250 1
Rh1 Rh 0.000 0.500 0.750 1
# formation energy = 1.0375 eV per atom
# offset from the most stable computed form = 107.2 kJ/mol of atoms


Record 2
# AsRu4 | Alexandria via LeMat-Bulk | GGA-PBE | optimized geometry
data_AsRu4
_chemical_formula_sum 'As1 Ru4'
_space_group_name_H-M_alt 'P m -3 m'
_space_group_IT_number 221
_space_group_name_Hall '-P 4 2 3'
_cell_length_a 4.484
_cell_length_b 4.484
_cell_length_c 4.484
_cell_angle_alpha 90.00
_cell_angle_beta 90.00
_cell_angle_gamma 90.00
loop_
_atom_site_label
_atom_site_type_symbol
_atom_site_fract_x
_atom_site_fract_y
_atom_site_fract_z
_atom_site_occupancy
As1 As 0.000 0.000 0.000 1
Ru1 Ru 0.000 0.000 0.500 1
Ru2 Ru 0.500 0.500 0.500 1
# formation energy = 1.3151 eV per atom
# offset from the most stable computed form = 80.2 kJ/mol of atoms


Record 3
# KNa2Au9 | Alexandria via LeMat-Bulk | GGA-PBE | optimized geometry
data_KNa2Au9
_chemical_formula_sum 'K3 Na6 Au27'
_space_group_name_H-M_alt 'R -3 m'
_space_group_IT_number 166
_space_group_name_Hall '-R 3 2"'
_cell_length_a 5.6768
_cell_length_b 5.6768
_cell_length_c 27.6690
_cell_angle_alpha 90.00
_cell_angle_beta 90.00
_cell_angle_gamma 120.00
loop_
_atom_site_label
_atom_site_type_symbol
_atom_site_fract_x
_atom_site_fract_y
_atom_site_fract_z
_atom_site_occupancy
K1 K 0.0000 0.0000 0.0000 1
Na1 Na 0.0000 0.0000 0.1445 1
Au1 Au 0.0000 0.0000 0.3330 1
Au2 Au 0.0000 0.0000 0.5000 1
Au3 Au 0.0038 0.5019 0.9149 1
# formation energy = -0.2826 eV per atom


Record 4
# Cu4Au3 | Alexandria via LeMat-Bulk | GGA-PBE | optimized geometry
data_Cu4Au3
_chemical_formula_sum 'Cu4 Au3'
_space_group_name_H-M_alt 'P 6/m m m'
_space_group_IT_number 191
_space_group_name_Hall '-P 6 2'
_cell_length_a 5.3559
_cell_length_b 5.3559
_cell_length_c 4.6171
_cell_angle_alpha 90.00
_cell_angle_beta 90.00
_cell_angle_gamma 120.00
loop_
_atom_site_label
_atom_site_type_symbol
_atom_site_fract_x
_atom_site_fract_y
_atom_site_fract_z
_atom_site_occupancy
Cu1 Cu 0.0000 0.0000 0.2490 1
Cu2 Cu 0.3333 0.6667 0.0000 1
Au1 Au 0.0000 0.5000 0.5000 1
# formation energy = 0.2509 eV per atom
# offset from the most stable computed form = 27.8 kJ/mol of atoms


Record 5
# LaMg2Fe2 | Alexandria via LeMat-Bulk | GGA-PBE | optimized geometry
data_LaMg2Fe2
_chemical_formula_sum 'La2 Mg4 Fe4'
_space_group_name_H-M_alt 'P 4/m b m'
_space_group_IT_number 127
_space_group_name_Hall '-P 4 2ab'
_cell_length_a 7.903
_cell_length_b 7.903
_cell_length_c 3.011
_cell_angle_alpha 90.00
_cell_angle_beta 90.00
_cell_angle_gamma 90.00
loop_
_atom_site_label
_atom_site_type_symbol
_atom_site_fract_x
_atom_site_fract_y
_atom_site_fract_z
_atom_site_occupancy
La1 La 0.000 0.000 0.000 1
Mg1 Mg 0.128 0.372 0.500 1
Fe1 Fe 0.167 0.667 0.000 1
# formation energy = 0.3288 eV per atom
# offset from the most stable computed form = 16.0 kJ/mol of atoms


Record 6
# As2PHSe | Alexandria via LeMat-Bulk | GGA-PBE | optimized geometry
data_As2PHSe
_chemical_formula_sum 'As2 P1 H1 Se1'
_space_group_name_H-M_alt 'P 4/m m m'
_space_group_IT_number 123
_space_group_name_Hall '-P 4 2'
_cell_length_a 4.773
_cell_length_b 4.773
_cell_length_c 4.967
_cell_angle_alpha 90.00
_cell_angle_beta 90.00
_cell_angle_gamma 90.00
loop_
_atom_site_label
_atom_site_type_symbol
_atom_site_fract_x
_atom_site_fract_y
_atom_site_fract_z
_atom_site_occupancy
As1 As 0.000 0.500 0.000 1
P1 P 0.000 0.000 0.000 1
H1 H 0.500 0.500 0.500 1
Se1 Se 0.000 0.000 0.500 1
# offset from the most stable computed form = 33.3 kJ/mol of atoms


Record 7
# Y5Se5S2 | Alexandria via LeMat-Bulk | GGA-PBE | optimized geometry
data_Y5Se5S2
_chemical_formula_sum 'Y10 Se10 S4'
_space_group_name_H-M_alt 'C 1 2/m 1'
_space_group_IT_number 12
_space_group_name_Hall '-C 2y'
_cell_length_a 13.290
_cell_length_b 3.960
_cell_length_c 11.966
_cell_angle_alpha 90.00
_cell_angle_beta 105.33
_cell_angle_gamma 90.00
loop_
_atom_site_label
_atom_site_type_symbol
_atom_site_fract_x
_atom_site_fract_y
_atom_site_fract_z
_atom_site_occupancy
Y1 Y 0.000 0.000 0.000 1
Y2 Y 0.110 0.000 0.414 1
Y3 Y 0.190 0.500 0.808 1
Se1 Se 0.000 0.500 0.500 1
Se2 Se 0.161 0.500 0.052 1
Se3 Se 0.244 0.500 0.352 1
S1 S 0.041 0.000 0.788 1
# raw formation energy = -1937 meV per atom


Record 8
# Ca3SbP | Alexandria via LeMat-Bulk | GGA-PBE | optimized geometry
data_Ca3SbP
_chemical_formula_sum 'Ca12 Sb4 P4'
_space_group_name_H-M_alt 'C 1 m 1'
_space_group_IT_number 8
_space_group_name_Hall 'C -2y'
_cell_length_a 18.293
_cell_length_b 4.535
_cell_length_c 7.599
_cell_angle_alpha 90.00
_cell_angle_beta 92.44
_cell_angle_gamma 90.00
loop_
_atom_site_label
_atom_site_type_symbol
_atom_site_fract_x
_atom_site_fract_y
_atom_site_fract_z
_atom_site_occupancy
Ca1 Ca 0.000 0.000 0.000 1
Ca2 Ca 0.051 0.000 0.540 1
Ca3 Ca 0.175 0.500 0.966 1
Ca4 Ca 0.243 0.500 0.472 1
Ca5 Ca 0.330 0.000 0.086 1
Ca6 Ca 0.390 0.000 0.633 1
Sb1 Sb 0.165 0.000 0.246 1
Sb2 Sb 0.403 0.500 0.331 1
P1 P 0.039 0.500 0.777 1
P2 P 0.317 0.500 0.822 1
# raw formation energy = -1034 meV per atom
# offset from the most stable computed form = 5.8 kJ/mol of atoms


Record 9
# La4PtRh | Alexandria via LeMat-Bulk | GGA-PBE | optimized geometry
data_La4PtRh
_chemical_formula_sum 'La8 Pt2 Rh2'
_space_group_name_H-M_alt 'P 1 21/m 1'
_space_group_IT_number 11
_space_group_name_Hall '-P 2yb'
_cell_length_a 6.586
_cell_length_b 7.092
_cell_length_c 8.031
_cell_angle_alpha 90.00
_cell_angle_beta 107.70
_cell_angle_gamma 90.00
loop_
_atom_site_label
_atom_site_type_symbol
_atom_site_fract_x
_atom_site_fract_y
_atom_site_fract_z
_atom_site_occupancy
La1 La 0.003 0.001 0.247 1
La2 La 0.438 0.250 0.614 1
La3 La 0.441 0.250 0.105 1
Pt1 Pt 0.226 0.750 0.556 1
Rh1 Rh 0.244 0.750 0.062 1
# formation energy = -0.6908 eV per atom
# offset from the most stable computed form = 0.0 kJ/mol of atoms


Record 10
# LaCdB2N | Alexandria via LeMat-Bulk | GGA-PBE | optimized geometry
data_LaCdB2N
_chemical_formula_sum 'La1 Cd1 B2 N1'
_space_group_name_H-M_alt 'P 4/m m m'
_space_group_IT_number 123
_space_group_name_Hall '-P 4 2'
_cell_length_a 4.418
_cell_length_b 4.418
_cell_length_c 4.150
_cell_angle_alpha 90.00
_cell_angle_beta 90.00
_cell_angle_gamma 90.00
loop_
_atom_site_label
_atom_site_type_symbol
_atom_site_fract_x
_atom_site_fract_y
_atom_site_fract_z
_atom_site_occupancy
La1 La 0.000 0.000 0.000 1
Cd1 Cd 0.500 0.500 0.000 1
B1 B 0.000 0.500 0.500 1
N1 N 0.500 0.500 0.500 1
# raw formation energy = 1459 meV per atom


Record 11
# Ca2SnIN | Alexandria via LeMat-Bulk | GGA-PBE | optimized geometry
data_Ca2SnIN
_chemical_formula_sum 'Ca2 Sn1 I1 N1'
_space_group_name_H-M_alt 'P 4/m m m'
_space_group_IT_number 123
_space_group_name_Hall '-P 4 2'
_cell_length_a 5.999
_cell_length_b 5.999
_cell_length_c 4.349
_cell_angle_alpha 90.00
_cell_angle_beta 90.00
_cell_angle_gamma 90.00
loop_
_atom_site_label
_atom_site_type_symbol
_atom_site_fract_x
_atom_site_fract_y
_atom_site_fract_z
_atom_site_occupancy
Ca1 Ca 0.000 0.500 0.000 1
Sn1 Sn 0.000 0.000 0.000 1
I1 I 0.500 0.500 0.500 1
N1 N 0.000 0.000 0.500 1
# raw formation energy = 31 meV per atom


Record 12
# LiAc3Sn2 | Alexandria via LeMat-Bulk | GGA-PBE | optimized geometry
data_LiAc3Sn2
_chemical_formula_sum 'Li4 Ac12 Sn8'
_space_group_name_H-M_alt 'C 1 2/m 1'
_space_group_IT_number 12
_space_group_name_Hall '-C 2y'
_cell_length_a 18.003
_cell_length_b 4.943
_cell_length_c 12.158
_cell_angle_alpha 90.00
_cell_angle_beta 117.59
_cell_angle_gamma 90.00
loop_
_atom_site_label
_atom_site_type_symbol
_atom_site_fract_x
_atom_site_fract_y
_atom_site_fract_z
_atom_site_occupancy
Li1 Li 0.071 0.000 0.153 1
Ac1 Ac 0.050 0.500 0.727 1
Ac2 Ac 0.144 0.000 0.499 1
Ac3 Ac 0.223 0.500 0.119 1
Sn1 Sn 0.108 0.000 0.934 1
Sn2 Sn 0.144 0.500 0.317 1
# formation energy = -0.3134 eV per atom
# offset from the most stable computed form = 24.9 kJ/mol of atoms


Summary of M_tot in μB/f.u.
0.00; 5.19; 0.00; 0.00; 3.12; 0.52; 0.00; 0.00; 0.00; 0.00; 0.00; 0.04
(order as listed above)
Summary of DOS at the Fermi energy in states/eV/atom
0.514; 1.561; 0.216; 0.265; 1.365; 0.781; 0.150; 0.000; 1.160; 0.898; 0.985; 0.920
(order as listed above)